(1)
Entry from the Alexandria database: a geometry-optimized CdInFe2 structure (PBE-GGA).

Unit cell a=5.0119 b=5.0119 c=5.0119 alpha=133.29 beta=133.29 gamma=68.19
Closest atoms and distances in Å follow each position.
Fractional positions:
Cd (0.0000, 0.0000, 0.0000)  8 Fe 2.81-2.87, 4 In 2.87
In (0.7500, 0.2500, 0.5000)  8 Fe 2.81-2.87, 4 Cd 2.87
Fe (0.2500, 0.7500, 0.5000)  4 In 2.81, 4 Fe 2.87, 4 Cd 2.87
Fe (0.5000, 0.5000, 0.0000)  4 Cd 2.81, 4 In 2.87, 4 Fe 2.87

Computed properties:
Its density of states at the Fermi level is 2.9 states/eV per cell. The calculation puts the total energy at -19.213 eV for the cell shown.

=====

(2)
Entry from the Alexandria database: a geometry-optimized LiCaErZn structure (PBE-GGA).

Unit cell a=5.1723 b=5.1723 c=5.1723 alpha=60.00 beta=60.00 gamma=60.00
Closest atoms and distances in Å follow each position.
Fractional positions:
Li (0.0000, 0.0000, 0.0000)  4 Ca 3.17, 4 Er 3.17
Ca (0.7500, 0.7500, 0.7500)  4 Zn 3.17, 4 Li 3.17
Er (0.2500, 0.2500, 0.2500)  4 Zn 3.17, 4 Li 3.17
Zn (0.5000, 0.5000, 0.5000)  4 Ca 3.17, 4 Er 3.17

Computed properties:
Its density of states at the Fermi level is 3.5 states/eV per cell. The calculation puts the total energy at -10.066 eV for the cell shown.

=====

(3)
Entry from the Alexandria database: a geometry-optimized Nd4HgPbN structure (PBE-GGA).

Unit cell a=8.8466 b=8.8466 c=6.9991 alpha=90.00 beta=90.00 gamma=133.41
Closest atoms and distances in Å follow each position.
Fractional positions:
Nd (0.0000, 0.5000, 0.0000)  2 N 2.47
Nd (0.0000, 0.5000, 0.5000)  2 N 2.47
Nd (0.0795, 0.9205, 0.7500)  1 N 2.83
Nd (0.4116, 0.5884, 0.7500)  1 N 2.57
Nd (0.5000, 0.0000, 0.0000)  2 N 2.47
Nd (0.5000, 0.0000, 0.5000)  2 N 2.47
Nd (0.5884, 0.4116, 0.2500)  1 N 2.57
Nd (0.9205, 0.0795, 0.2500)  1 N 2.83
Hg (0.1156, 0.8844, 0.2500)  9 Nd 3.17-3.55
Hg (0.8844, 0.1156, 0.7500)  9 Nd 3.17-3.55
Pb (0.3907, 0.6093, 0.2500)  9 Nd 3.21-3.53
Pb (0.6093, 0.3907, 0.7500)  9 Nd 3.21-3.53
N (0.2534, 0.7466, 0.7500)  5 Nd 2.47-2.57
N (0.7466, 0.2534, 0.2500)  5 Nd 2.47-2.57

Computed properties:
Its density of states at the Fermi level is 8.0 states/eV per cell. The calculation puts the total energy at -72.512 eV for the cell shown. The calculation puts the energy relative to the elements, uncorrected at -66.84 kJ per mole of atoms.

=====

(4)
Entry from the Alexandria database: a geometry-optimized Ti7Ga2Cu2 structure (PBE-GGA).

Unit cell a=5.7567 b=5.7567 c=6.2371 alpha=90.00 beta=90.00 gamma=109.61
Closest atoms and distances in Å follow each position.
Fractional positions:
Ti (0.0000, 0.0000, 0.0000)  2 Cu 2.68
Ti (0.0000, 0.5000, 0.2887)  2 Cu 2.47, 1 Ti 2.64, 2 Ga 2.74
Ti (0.0000, 0.5000, 0.7113)  2 Cu 2.47, 1 Ti 2.64, 2 Ga 2.74
Ti (0.5000, 0.0000, 0.2887)  2 Cu 2.47, 1 Ti 2.64, 2 Ga 2.74
Ti (0.5000, 0.0000, 0.7113)  2 Cu 2.47, 1 Ti 2.64, 2 Ga 2.74
Ti (0.5000, 0.5000, 0.2515)  2 Cu 2.56, 2 Ga 2.63
Ti (0.5000, 0.5000, 0.7485)  2 Cu 2.56, 2 Ga 2.63
Ga (0.1799, 0.1799, 0.5000)  1 Ga 2.39, 2 Ti 2.63
Ga (0.8201, 0.8201, 0.5000)  1 Ga 2.39, 2 Ti 2.63
Cu (0.2844, 0.7156, 0.0000)  7 Ti 2.47-2.68
Cu (0.7156, 0.2844, 0.0000)  7 Ti 2.47-2.68

Computed properties:
Its density of states at the Fermi level is 13.9 states/eV per cell. The calculation puts the total energy at -67.181 eV for the cell shown.

=====

(5)
Entry from the Alexandria database: a geometry-optimized YTlAgCl2 structure (PBE-GGA).

Unit cell a=5.0532 b=5.0532 c=5.8925 alpha=90.00 beta=90.00 gamma=90.00
Closest atoms and distances in Å follow each position.
Fractional positions:
Y (0.0000, 0.0000, 0.0000)  2 Ag 2.95
Tl (0.5000, 0.5000, 0.0000)  4 Y 3.57, 8 Cl 3.88
Ag (0.0000, 0.0000, 0.5000)  4 Cl 2.53
Cl (0.0000, 0.5000, 0.5000)  2 Ag 2.53
Cl (0.5000, 0.0000, 0.5000)  2 Ag 2.53

Computed properties:
Its density of states at the Fermi level is 2.1 states/eV per cell. The calculation puts the total energy at -16.158 eV for the cell shown. The calculation puts the energy relative to the elements, uncorrected at -15.10 kJ per mole of atoms.

=====

(6)
Entry from the Alexandria database: a geometry-optimized NpGa4RuPt2 structure (PBE-GGA).

Unit cell a=9.0477 b=9.0477 c=9.0477 alpha=27.27 beta=27.27 gamma=27.27
Closest atoms and distances in Å follow each position.
Fractional positions:
Np (0.0000, 0.0000, 0.0000)  6 Ga 2.99
Ga (0.1327, 0.1327, 0.1327)  3 Ru 2.62, 4 Pt 2.65-2.75
Ga (0.3983, 0.3983, 0.3983)  3 Pt 2.59, 1 Ru 2.66
Ga (0.6017, 0.6017, 0.6017)  3 Pt 2.59, 1 Ru 2.66
Ga (0.8673, 0.8673, 0.8673)  3 Ru 2.62, 4 Pt 2.65-2.75
Ru (0.5000, 0.5000, 0.5000)  8 Ga 2.62-2.66
Pt (0.2378, 0.2378, 0.2378)  7 Ga 2.59-2.75
Pt (0.7622, 0.7622, 0.7622)  7 Ga 2.59-2.75

Computed properties:
Its density of states at the Fermi level is 10.8 states/eV per cell. The calculation puts the total energy at -49.874 eV for the cell shown.

=====

(7)
Entry from the Alexandria database: a geometry-optimized Ta2BeRu structure (PBE-GGA).

Unit cell a=7.7498 b=7.7498 c=7.7498 alpha=22.70 beta=22.70 gamma=22.70
Closest atoms and distances in Å follow each position.
Fractional positions:
Ta (0.2413, 0.2413, 0.2413)  3 Be 2.44, 3 Ru 2.73
Ta (0.7587, 0.7587, 0.7587)  3 Be 2.44, 3 Ru 2.73
Be (0.5000, 0.5000, 0.5000)  6 Ta 2.44
Ru (0.0000, 0.0000, 0.0000)  6 Ta 2.73, 6 Ru 3.05

Computed properties:
Its density of states at the Fermi level is 2.3 states/eV per cell. The calculation puts the total energy at -36.228 eV for the cell shown.

=====

(8)
Entry from the Alexandria database: a geometry-optimized LuZn2Co structure (PBE-GGA).

Unit cell a=5.2987 b=5.2987 c=5.2987 alpha=45.49 beta=45.49 gamma=45.49
Closest atoms and distances in Å follow each position.
Fractional positions:
Lu (0.0000, 0.0000, 0.0000)  8 Zn 2.94-2.99
Zn (0.2106, 0.2106, 0.2106)  3 Co 2.45, 3 Zn 2.67
Zn (0.7894, 0.7894, 0.7894)  3 Co 2.45, 3 Zn 2.67
Co (0.5000, 0.5000, 0.5000)  6 Zn 2.45

Computed properties:
Its density of states at the Fermi level is 3.6 states/eV per cell. The calculation puts the total energy at -14.689 eV for the cell shown.

=====

(9)
Entry from the Alexandria database: a geometry-optimized Y2BeZn12Ni3 structure (PBE-GGA).

Unit cell a=11.6650 b=11.6650 c=11.6650 alpha=27.60 beta=27.60 gamma=27.60
Closest atoms and distances in Å follow each position.
Fractional positions:
Y (0.1408, 0.1408, 0.1408)  9 Zn 2.95-3.15
Y (0.8592, 0.8592, 0.8592)  9 Zn 2.95-3.15
Be (0.5000, 0.5000, 0.5000)  6 Zn 2.44
Zn (0.1030, 0.1030, 0.6372)  2 Ni 2.42, 4 Zn 2.59-2.61
Zn (0.1030, 0.6372, 0.1030)  2 Ni 2.42, 4 Zn 2.59-2.61
Zn (0.1132, 0.6116, 0.6116)  1 Be 2.44, 2 Zn 2.61
Zn (0.3628, 0.8970, 0.8970)  2 Ni 2.42, 4 Zn 2.59-2.61
Zn (0.3884, 0.3884, 0.8868)  1 Be 2.44, 2 Zn 2.61
Zn (0.3884, 0.8868, 0.3884)  1 Be 2.44, 2 Zn 2.61
Zn (0.6116, 0.1132, 0.6116)  1 Be 2.44, 2 Zn 2.61
Zn (0.6116, 0.6116, 0.1132)  1 Be 2.44, 2 Zn 2.61
Zn (0.6372, 0.1030, 0.1030)  2 Ni 2.42, 4 Zn 2.59-2.61
Zn (0.8868, 0.3884, 0.3884)  1 Be 2.44, 2 Zn 2.61
Zn (0.8970, 0.3628, 0.8970)  2 Ni 2.42, 4 Zn 2.59-2.61
Zn (0.8970, 0.8970, 0.3628)  2 Ni 2.42, 4 Zn 2.59-2.61
Ni (0.0000, 0.5000, 0.5000)  4 Zn 2.42
Ni (0.5000, 0.0000, 0.5000)  4 Zn 2.42
Ni (0.5000, 0.5000, 0.0000)  4 Zn 2.42

Computed properties:
Its density of states at the Fermi level is 8.5 states/eV per cell. The calculation puts the total energy at -48.904 eV for the cell shown.

=====

(10)
Entry from the Alexandria database: a geometry-optimized Sr3LaCl structure (PBE-GGA).

Unit cell a=6.0072 b=6.0072 c=6.0072 alpha=90.00 beta=90.00 gamma=90.00
Closest atoms and distances in Å follow each position.
Fractional positions:
Sr (0.0000, 0.0000, 0.5000)  2 Cl 3.00
Sr (0.0000, 0.5000, 0.0000)  2 Cl 3.00
Sr (0.5000, 0.0000, 0.0000)  2 Cl 3.00
La (0.5000, 0.5000, 0.5000)  12 Sr 4.25
Cl (0.0000, 0.0000, 0.0000)  6 Sr 3.00

Computed properties:
Its density of states at the Fermi level is 7.0 states/eV per cell. The calculation puts the total energy at -14.179 eV for the cell shown. The calculation puts the energy relative to the elements, uncorrected at -45.54 kJ per mole of atoms. The value obtained for the offset from the most stable computed form is 0.0000 eV per atom.

=====

(11)
Entry from the Alexandria database: a geometry-optimized MgTa2Se structure (PBE-GGA).

Unit cell a=9.2193 b=9.2193 c=9.2193 alpha=19.33 beta=19.33 gamma=19.33
Closest atoms and distances in Å follow each position.
Fractional positions:
Mg (0.0000, 0.0000, 0.0000)  6 Ta 3.08, 6 Mg 3.09
Ta (0.2407, 0.2407, 0.2407)  3 Se 2.69
Ta (0.7593, 0.7593, 0.7593)  3 Se 2.69
Se (0.5000, 0.5000, 0.5000)  6 Ta 2.69

Computed properties:
Its density of states at the Fermi level is 4.7 states/eV per cell. The calculation puts the total energy at -28.185 eV for the cell shown. The calculation puts the energy relative to the elements, uncorrected at 14.47 kJ per mole of atoms. The value obtained for the offset from the most stable computed form is 0.1639 eV per atom.

=====

(12)
Entry from the Alexandria database: a geometry-optimized KNa12In6 structure (PBE-GGA).

Unit cell a=8.4295 b=8.4295 c=8.4295 alpha=88.85 beta=88.85 gamma=88.85
Closest atoms and distances in Å follow each position.
Fractional positions:
K (0.0000, 0.0000, 0.0000)  6 In 3.38, 6 Na 3.60
Na (0.0190, 0.3912, 0.1624)  3 Na 3.28-3.51, 4 In 3.33-3.60, 1 K 3.60
Na (0.1624, 0.0190, 0.3912)  3 Na 3.28-3.51, 4 In 3.33-3.60, 1 K 3.60
Na (0.1943, 0.5769, 0.4775)  4 In 3.29-3.58, 5 Na 3.42-3.56
Na (0.3912, 0.1624, 0.0190)  3 Na 3.28-3.51, 4 In 3.33-3.60, 1 K 3.60
Na (0.4231, 0.5225, 0.8057)  4 In 3.29-3.58, 5 Na 3.42-3.56
Na (0.4775, 0.1943, 0.5769)  4 In 3.29-3.58, 5 Na 3.42-3.56
Na (0.5225, 0.8057, 0.4231)  4 In 3.29-3.58, 5 Na 3.42-3.56
Na (0.5769, 0.4775, 0.1943)  4 In 3.29-3.58, 5 Na 3.42-3.56
Na (0.6088, 0.8376, 0.9810)  3 Na 3.28-3.51, 4 In 3.33-3.60, 1 K 3.60
Na (0.8057, 0.4231, 0.5225)  4 In 3.29-3.58, 5 Na 3.42-3.56
Na (0.8376, 0.9810, 0.6088)  3 Na 3.28-3.51, 4 In 3.33-3.60, 1 K 3.60
Na (0.9810, 0.6088, 0.8376)  3 Na 3.28-3.51, 4 In 3.33-3.60, 1 K 3.60
In (0.1134, 0.2585, 0.7105)  8 Na 3.29-3.60, 1 K 3.38, 2 In 3.45
In (0.2585, 0.7105, 0.1134)  8 Na 3.29-3.60, 1 K 3.38, 2 In 3.45
In (0.2895, 0.8866, 0.7415)  8 Na 3.29-3.60, 1 K 3.38, 2 In 3.45
In (0.7105, 0.1134, 0.2585)  8 Na 3.29-3.60, 1 K 3.38, 2 In 3.45
In (0.7415, 0.2895, 0.8866)  8 Na 3.29-3.60, 1 K 3.38, 2 In 3.45
In (0.8866, 0.7415, 0.2895)  8 Na 3.29-3.60, 1 K 3.38, 2 In 3.45

Computed properties:
Its density of states at the Fermi level is 9.6 states/eV per cell. The calculation puts the total energy at -33.894 eV for the cell shown.